## PmNd2Sm8 (GGA-PBE)

Data for a geometry-optimized PmNd2Sm8 structure.

Output
E_tot ... -4.568 eV/atom
Energy relative to the elements ... 0.163 eV per atom
N(E_F) ... 32.99 states/eV/cell

a b c (Å): 17.3481 6.7264 6.7083
angles (deg): 90.00 103.80 90.00
Last column: nearest neighbours and their distance in Å.
Space group C2/m (No. 12)
Inequivalent atoms, fractional coordinates:
Pm (0.0000, 0.0000, 0.0000)  8 Sm 3.50-3.72, 2 Nd 3.74
Nd (0.2024, 0.0000, 0.3533)  4 Sm 3.32-3.62
Sm (0.0723, 0.5000, 0.1954)  4 Sm 3.17-3.54
Sm (0.0957, 0.2607, 0.6765)  5 Sm 3.22-3.59, 1 Pm 3.50
Sm (0.2478, 0.5000, 0.0943)  5 Sm 3.27-3.60, 2 Nd 3.32-3.60

## YMg7Zn2In (GGA-PBE)

Data for a geometry-optimized YMg7Zn2In structure.

Output
E_tot ... -1.669 eV/atom
Energy relative to the elements ... 0.414 eV per atom
N(E_F) ... 16.62 states/eV/cell

a b c (Å): 4.9707 4.9707 28.9785
angles (deg): 90.00 90.00 90.00
Last column: nearest neighbours and their distance in Å.
Space group I-4m2 (No. 119)
Inequivalent atoms, fractional coordinates:
Y (0.0000, 0.0000, 0.0000)  4 Mg 3.22
Mg (0.0000, 0.0000, 0.1345)  2 Zn 2.60
Mg (0.0000, 0.0000, 0.3221)  2 Zn 2.54
Mg (0.0000, 0.5000, 0.0709)  1 Zn 2.59
Mg (0.0000, 0.5000, 0.2500)  2 Zn 2.60
Zn (0.0000, 0.5000, 0.1604)  6 Mg 2.54-2.60
In (0.0000, 0.5000, 0.7500)  8 Mg 3.25-3.51

## Sm2AlTe (GGA-PBE)

Data for a geometry-optimized Sm2AlTe structure.

Output
ΔE_f (raw) ... -0.7998 eV per atom
E_tot ... -4.880 eV/atom
N(E_F) ... 6.06 states/eV/cell

a b c (Å): 4.1863 4.1863 23.6315
angles (deg): 90.00 90.00 120.00
Last column: nearest neighbours and their distance in Å.
Space group R-3m (No. 166, hexagonal axes)
Inequivalent atoms, fractional coordinates:
Sm (0.0000, 0.0000, 0.2483)  3 Al 3.09, 3 Te 3.14
Al (0.0000, 0.0000, 0.5000)  6 Sm 3.09
Te (0.0000, 0.0000, 0.0000)  6 Sm 3.14

Number 1: magnetization 0.000 μB/f.u.. Number 2: magnetization 0.000 μB/f.u.. Number 3: magnetization 0.000 μB/f.u..